1.
This record from the Alexandria database describes a geometry-optimized CuAgCl2 structure. The functional is PBE-GGA.

The calculation puts the spin magnetization at 0.00 Bohr magnetons per cell. The value obtained for the theoretical density is 4.3 g/cm³. The raw formation energy is -411 meV/atom.

Unit cell a=5.8411 b=5.8411 c=6.8711 alpha=64.85 beta=64.85 gamma=90.00
Closest atoms and distances in Å follow each position.
Fractional coordinates of all 8 atoms:
Cu  0.5000  0.5000  0.0000  4 Cl 2.34
Cu  0.2500  0.7500  0.5000  4 Cl 2.34
Ag  0.0000  0.0000  0.0000  4 Cl 2.63
Ag  0.7500  0.2500  0.5000  4 Cl 2.63
Cl  0.5831  0.1250  0.2500  2 Cu 2.34
Cl  0.1669  0.6250  0.2500  2 Cu 2.34
Cl  0.3750  0.4169  0.7500  2 Cu 2.34
Cl  0.8750  0.8331  0.7500  2 Cu 2.34


2.
This record from the Alexandria database describes a geometry-optimized P5Rh structure. The functional is PBE-GGA.

The calculation puts the spin magnetization at 0.00 Bohr magnetons per cell. For the energy above the most stable polymorph in this dataset, the calculation gives 246 meV/atom. The value obtained for the theoretical density is 4.0 g/cm³. The formation energy comes out at 0.310 eV/atom.

Unit cell a=3.2181 b=3.2181 c=10.2725 alpha=90.00 beta=90.00 gamma=90.00
Closest atoms and distances in Å follow each position.
Fractional coordinates of all 6 atoms:
P  0.0000  0.0000  0.8895  1 P 2.27
P  0.0000  0.0000  0.1105  1 P 2.27
P  0.5000  0.5000  0.6072  1 P 2.20
P  0.5000  0.5000  0.3928  1 P 2.20
P  0.0000  0.0000  0.5000  8 P 2.53
Rh  0.5000  0.5000  0.0000  8 P 2.54


3.
This record from the Alexandria database describes a geometry-optimized POsIO2 structure. The functional is PBE-GGA.

The calculation puts the spin magnetization at 0.00 Bohr magnetons per cell. For the energy above the most stable polymorph in this dataset, the calculation gives 0 meV/atom. The value obtained for the theoretical density is 7.9 g/cm³. The raw formation energy is -248 meV/atom.

Unit cell a=3.8439 b=3.8439 c=5.3823 alpha=90.00 beta=90.00 gamma=90.00
Closest atoms and distances in Å follow each position.
Fractional coordinates of all 5 atoms:
I  0.5000  0.5000  0.5000  4 P 2.72
P  0.0000  0.0000  0.5000  2 Os 2.69, 4 I 2.72
Os  0.0000  0.0000  0.0000  4 O 1.92
O  0.0000  0.5000  0.0000  2 Os 1.92
O  0.5000  0.0000  0.0000  2 Os 1.92


4.
This record from the Alexandria database describes a geometry-optimized PaBe2IrRh2 structure. The functional is PBE-GGA.

The calculation puts the spin magnetization at 0.00 Bohr magnetons per cell. The value obtained for the theoretical density is 11.8 g/cm³. The formation energy comes out at -0.365 eV/atom.

Unit cell a=4.2025 b=4.2025 c=5.9559 alpha=110.66 beta=110.66 gamma=90.00
Closest atoms and distances in Å follow each position.
Fractional coordinates of all 6 atoms:
Pa  0.5000  0.5000  0.0000  4 Ir 2.97, 2 Be 3.03, 8 Rh 3.33
Be  0.7935  0.7935  0.5870  1 Ir 2.13, 4 Rh 2.15
Be  0.2065  0.2065  0.4130  1 Ir 2.13, 4 Rh 2.15
Ir  0.0000  0.0000  0.0000  2 Be 2.13
Rh  0.2500  0.7500  0.5000  4 Be 2.15
Rh  0.7500  0.2500  0.5000  4 Be 2.15


5.
This record from the Alexandria database describes a geometry-optimized Y3Mg2Au3 structure. The functional is PBE-GGA.

The calculation puts the spin magnetization at 0.00 Bohr magnetons per cell. The value obtained for the theoretical density is 8.1 g/cm³. The formation energy comes out at -0.718 eV/atom.

Unit cell a=5.8148 b=8.6076 c=8.6076 alpha=120.00 beta=90.00 gamma=90.00
Closest atoms and distances in Å follow each position.
Fractional coordinates of all 16 atoms:
Y  0.7500  0.2632  0.0000  5 Au 2.97-3.11
Y  0.7500  0.7368  0.7368  5 Au 2.97-3.11
Y  0.7500  0.0000  0.2632  5 Au 2.97-3.11
Y  0.2500  0.7368  0.0000  5 Au 2.97-3.11
Y  0.2500  0.2632  0.2632  5 Au 2.97-3.11
Y  0.2500  0.0000  0.7368  5 Au 2.97-3.11
Mg  0.0000  0.3333  0.6667  2 Mg 2.91, 6 Au 3.03
Mg  0.5000  0.6667  0.3333  2 Mg 2.91, 6 Au 3.03
Mg  0.0000  0.6667  0.3333  2 Mg 2.91, 6 Au 3.03
Mg  0.5000  0.3333  0.6667  2 Mg 2.91, 6 Au 3.03
Au  0.7500  0.6087  0.0000  5 Y 2.97-3.11, 4 Mg 3.03
Au  0.7500  0.3913  0.3913  5 Y 2.97-3.11, 4 Mg 3.03
Au  0.7500  0.0000  0.6087  5 Y 2.97-3.11, 4 Mg 3.03
Au  0.2500  0.3913  0.0000  5 Y 2.97-3.11, 4 Mg 3.03
Au  0.2500  0.6087  0.6087  5 Y 2.97-3.11, 4 Mg 3.03
Au  0.2500  0.0000  0.3913  5 Y 2.97-3.11, 4 Mg 3.03


6.
This record from the Alexandria database describes a geometry-optimized Cd12Ag6Sn structure. The functional is PBE-GGA.

The calculation puts the spin magnetization at 0.00 Bohr magnetons per cell. For the energy above the most stable polymorph in this dataset, the calculation gives 0 meV/atom. The value obtained for the theoretical density is 8.7 g/cm³. The formation energy comes out at -0.017 eV/atom.

Unit cell a=7.3947 b=7.3947 c=7.3947 alpha=86.79 beta=86.79 gamma=86.79
Closest atoms and distances in Å follow each position.
Fractional coordinates of all 19 atoms:
Cd  0.5854  0.1902  0.4835  4 Ag 2.88-3.03, 5 Cd 3.01-3.14
Cd  0.1902  0.4835  0.5854  4 Ag 2.88-3.03, 5 Cd 3.01-3.14
Cd  0.4835  0.5854  0.1902  4 Ag 2.88-3.03, 5 Cd 3.01-3.14
Cd  0.4146  0.8098  0.5165  4 Ag 2.88-3.03, 5 Cd 3.01-3.14
Cd  0.8098  0.5165  0.4146  4 Ag 2.88-3.03, 5 Cd 3.01-3.14
Cd  0.5165  0.4146  0.8098  4 Ag 2.88-3.03, 5 Cd 3.01-3.14
Cd  0.9445  0.8427  0.6122  5 Cd 2.91-3.14, 2 Ag 2.92-3.04, 1 Sn 3.21
Cd  0.3878  0.0555  0.1573  5 Cd 2.91-3.14, 2 Ag 2.92-3.04, 1 Sn 3.21
Cd  0.1573  0.3878  0.0555  5 Cd 2.91-3.14, 2 Ag 2.92-3.04, 1 Sn 3.21
Cd  0.0555  0.1573  0.3878  5 Cd 2.91-3.14, 2 Ag 2.92-3.04, 1 Sn 3.21
Cd  0.6122  0.9445  0.8427  5 Cd 2.91-3.14, 2 Ag 2.92-3.04, 1 Sn 3.21
Cd  0.8427  0.6122  0.9445  5 Cd 2.91-3.14, 2 Ag 2.92-3.04, 1 Sn 3.21
Ag  0.2695  0.1187  0.7281  6 Cd 2.88-3.04, 1 Sn 2.89, 2 Ag 3.03
Ag  0.8813  0.2719  0.7305  6 Cd 2.88-3.04, 1 Sn 2.89, 2 Ag 3.03
Ag  0.2719  0.7305  0.8813  6 Cd 2.88-3.04, 1 Sn 2.89, 2 Ag 3.03
Ag  0.7305  0.8813  0.2719  6 Cd 2.88-3.04, 1 Sn 2.89, 2 Ag 3.03
Ag  0.1187  0.7281  0.2695  6 Cd 2.88-3.04, 1 Sn 2.89, 2 Ag 3.03
Ag  0.7281  0.2695  0.1187  6 Cd 2.88-3.04, 1 Sn 2.89, 2 Ag 3.03
Sn  0.0000  0.0000  0.0000  6 Ag 2.89, 6 Cd 3.21


7.
This record from the Alexandria database describes a geometry-optimized DyMg2Rh3 structure. The functional is PBE-GGA.

The calculation puts the spin magnetization at 0.00 Bohr magnetons per cell. For the energy above the most stable polymorph in this dataset, the calculation gives 10 meV/atom. The value obtained for the theoretical density is 8.6 g/cm³. The formation energy comes out at -0.647 eV/atom.

Unit cell a=4.5555 b=4.5555 c=11.2214 alpha=90.00 beta=90.00 gamma=120.00
Closest atoms and distances in Å follow each position.
Fractional coordinates of all 12 atoms:
Dy  0.3333  0.6667  0.6722  8 Rh 2.79-2.87
Dy  0.6667  0.3333  0.3278  8 Rh 2.79-2.87
Mg  0.0000  0.0000  0.5000  8 Rh 2.79-2.89
Mg  0.3333  0.6667  0.1567  8 Rh 2.65-2.91
Mg  0.6667  0.3333  0.8433  8 Rh 2.65-2.91
Mg  0.0000  0.0000  0.0000  8 Rh 2.72-2.78
Rh  0.3333  0.6667  0.4163  4 Mg 2.79-2.91, 4 Dy 2.81-2.87
Rh  0.6667  0.3333  0.0795  7 Mg 2.65-2.78, 1 Dy 2.79
Rh  0.0000  0.0000  0.7576  5 Mg 2.72-2.89, 3 Dy 2.80
Rh  0.0000  0.0000  0.2424  5 Mg 2.72-2.89, 3 Dy 2.80
Rh  0.3333  0.6667  0.9205  7 Mg 2.65-2.78, 1 Dy 2.79
Rh  0.6667  0.3333  0.5837  4 Mg 2.79-2.91, 4 Dy 2.81-2.87


8.
This record from the Alexandria database describes a geometry-optimized KZnCd structure. The functional is PBE-GGA.

The calculation puts the spin magnetization at 0.00 Bohr magnetons per cell. For the energy above the most stable polymorph in this dataset, the calculation gives 70 meV/atom. The value obtained for the theoretical density is 4.0 g/cm³. The formation energy comes out at 0.050 eV/atom.

Unit cell a=6.7511 b=6.7508 c=3.8138 alpha=73.60 beta=73.59 gamma=32.81
Closest atoms and distances in Å follow each position.
Fractional coordinates of all 3 atoms:
Cd  0.9556  0.9556  0.0444  4 Zn 2.87
K  0.6688  0.6688  0.3312  5 Cd 3.55-3.77, 5 Zn 3.63-3.72, 4 K 3.81
Zn  0.3756  0.3756  0.6244  4 Cd 2.87


Question: theoretical density of number 3 (POsIO2)?
Answer: 7.9 g/cm³